1.
HgOF4 after structural relaxation, computed with PBE-GGA.

DOS(E_F) (states/eV per cell): 4.01
Symmetry: P-1 (2)

CIF file:
```
data_HgOF4
_cell_length_a 5.9867
_cell_length_b 4.4950
_cell_length_c 9.1650
_cell_angle_alpha 86.94
_cell_angle_beta 111.42
_cell_angle_gamma 73.82
_space_group_name_H-M_alt 'P 1'
_space_group_IT_number 1
loop_
_space_group_symop_operation_xyz
'x,y,z'
loop_
_atom_site_label
_atom_site_fract_x
_atom_site_fract_y
_atom_site_fract_z
F1 0.7335 0.8692 0.1903
Hg1 0.2762 0.1381 0.5857
F2 0.2199 0.6591 0.5735
O1 0.2145 0.5792 0.8963
F3 0.6843 0.4903 0.9430
F4 0.2665 0.1308 0.8097
F5 0.7801 0.3409 0.4265
Hg2 0.7238 0.8619 0.4143
F6 0.7207 0.8478 0.6417
F7 0.2793 0.1522 0.3583
O2 0.7855 0.4208 0.1037
F8 0.3157 0.5097 0.0570
```

2.
HgO2F3 after structural relaxation, computed with PBE-GGA.

DOS(E_F) (states/eV per cell): 0.89
Symmetry: C2/c (15)

CIF file:
```
data_HgO2F3
_cell_length_a 7.0462
_cell_length_b 7.0462
_cell_length_c 6.9837
_cell_angle_alpha 62.87
_cell_angle_beta 62.87
_cell_angle_gamma 37.11
_space_group_name_H-M_alt 'P 1'
_space_group_IT_number 1
loop_
_space_group_symop_operation_xyz
'x,y,z'
loop_
_atom_site_label
_atom_site_fract_x
_atom_site_fract_y
_atom_site_fract_z
Hg1 0.0927 0.9073 0.2500
Hg2 0.9073 0.0927 0.7500
F1 0.8621 0.8703 0.6266
O1 0.4068 0.1766 0.5613
F2 0.8703 0.8621 0.1266
O2 0.8234 0.5932 0.9387
F3 0.1379 0.1297 0.3734
O3 0.1766 0.4068 0.0613
F4 0.5816 0.4184 0.2500
F5 0.1297 0.1379 0.8734
O4 0.5932 0.8234 0.4387
F6 0.4184 0.5816 0.7500
```

3.
HgO2F after structural relaxation, computed with PBE-GGA.

DOS(E_F) (states/eV per cell): 2.78
Symmetry: I-42d (122)
Offset from the most stable computed form (meV/atom): 525

CIF file:
```
data_HgO2F
_cell_length_a 3.3774
_cell_length_b 3.3774
_cell_length_c 9.5301
_cell_angle_alpha 79.79
_cell_angle_beta 79.79
_cell_angle_gamma 90.00
_space_group_name_H-M_alt 'P 1'
_space_group_IT_number 1
loop_
_space_group_symop_operation_xyz
'x,y,z'
loop_
_atom_site_label
_atom_site_fract_x
_atom_site_fract_y
_atom_site_fract_z
O1 0.3750 0.2139 0.7500
Hg1 0.7500 0.2500 0.5000
O2 0.7861 0.1250 0.2500
O3 0.8750 0.0361 0.7500
F1 0.2500 0.7500 0.5000
O4 0.9639 0.6250 0.2500
F2 0.5000 0.5000 0.0000
Hg2 0.0000 0.0000 0.0000
```

4.
Hg5O2F4 after structural relaxation, computed with PBE-GGA.

Symmetry: P1 (1)

CIF file:
```
data_Hg5O2F4
_cell_length_a 3.7556
_cell_length_b 6.0369
_cell_length_c 9.9846
_cell_angle_alpha 82.35
_cell_angle_beta 70.43
_cell_angle_gamma 79.81
_space_group_name_H-M_alt 'P 1'
_space_group_IT_number 1
loop_
_space_group_symop_operation_xyz
'x,y,z'
loop_
_atom_site_label
_atom_site_fract_x
_atom_site_fract_y
_atom_site_fract_z
Hg1 0.5466 0.5212 0.4573
F1 0.3798 0.2106 0.2669
F2 0.1499 0.0965 0.0118
F3 0.5679 0.5039 0.9285
Hg2 0.7745 0.1885 0.7645
Hg3 0.1052 0.9200 0.2475
Hg4 0.0984 0.7673 0.7477
O1 0.7121 0.6751 0.2456
O2 0.3436 0.4238 0.6736
F4 0.9253 0.8098 0.4910
Hg5 0.9397 0.4264 0.0942
```

5.
Hg3OF after structural relaxation, computed with PBE-GGA.

DOS(E_F) (states/eV per cell): 3.55
Symmetry: Pnma (62)
Offset from the most stable computed form (meV/atom): 0

CIF file:
```
data_Hg3OF
_cell_length_a 6.6215
_cell_length_b 6.1793
_cell_length_c 9.4409
_cell_angle_alpha 90.00
_cell_angle_beta 90.00
_cell_angle_gamma 90.00
_space_group_name_H-M_alt 'P 1'
_space_group_IT_number 1
loop_
_space_group_symop_operation_xyz
'x,y,z'
loop_
_atom_site_label
_atom_site_fract_x
_atom_site_fract_y
_atom_site_fract_z
O1 0.7500 0.9447 0.2933
Hg1 0.2500 0.3512 0.9830
Hg2 0.7500 0.1488 0.4830
O2 0.7500 0.4447 0.2067
F1 0.7500 0.8432 0.6538
Hg3 0.2500 0.8512 0.5170
F2 0.2500 0.6568 0.1538
F3 0.2500 0.1568 0.3462
Hg4 0.5065 0.5955 0.3533
Hg5 0.0065 0.4045 0.6467
Hg6 0.7500 0.6488 0.0170
Hg7 0.5065 0.0955 0.1467
Hg8 0.4935 0.4045 0.6467
O3 0.2500 0.5553 0.7933
Hg9 0.0065 0.9045 0.8533
Hg10 0.9935 0.0955 0.1467
Hg11 0.9935 0.5955 0.3533
O4 0.2500 0.0553 0.7067
Hg12 0.4935 0.9045 0.8533
F4 0.7500 0.3432 0.8462
```

6.
Hg5O2F12 after structural relaxation, computed with PBE-GGA.

Symmetry: C2/m (12)

CIF file:
```
data_Hg5O2F12
_cell_length_a 7.1936
_cell_length_b 7.1936
_cell_length_c 7.6636
_cell_angle_alpha 75.28
_cell_angle_beta 75.28
_cell_angle_gamma 49.41
_space_group_name_H-M_alt 'P 1'
_space_group_IT_number 1
loop_
_space_group_symop_operation_xyz
'x,y,z'
loop_
_atom_site_label
_atom_site_fract_x
_atom_site_fract_y
_atom_site_fract_z
Hg1 0.3166 0.3166 0.8407
F1 0.0806 0.5624 0.1048
Hg2 0.3143 0.3143 0.3478
F2 0.4940 0.4940 0.7871
F3 0.0231 0.0231 0.2141
F4 0.9769 0.9769 0.7859
F5 0.4376 0.9194 0.8952
F6 0.5909 0.0974 0.5658
Hg3 0.0000 0.0000 0.5000
F7 0.4091 0.9026 0.4342
F8 0.0974 0.5909 0.5658
F9 0.5624 0.0806 0.1048
Hg4 0.6857 0.6857 0.6522
Hg5 0.6834 0.6834 0.1593
O1 0.2240 0.7760 0.0000
F10 0.9194 0.4376 0.8952
F11 0.5060 0.5060 0.2129
O2 0.7760 0.2240 0.0000
F12 0.9026 0.4091 0.4342
```

7.
Hg2OF3 after structural relaxation, computed with PBE-GGA.

DOS(E_F) (states/eV per cell): 1.14
Symmetry: C2/m (12)

CIF file:
```
data_Hg2OF3
_cell_length_a 3.7362
_cell_length_b 8.4317
_cell_length_c 6.3577
_cell_angle_alpha 100.11
_cell_angle_beta 90.00
_cell_angle_gamma 102.80
_space_group_name_H-M_alt 'P 1'
_space_group_IT_number 1
loop_
_space_group_symop_operation_xyz
'x,y,z'
loop_
_atom_site_label
_atom_site_fract_x
_atom_site_fract_y
_atom_site_fract_z
O1 0.4585 0.9169 0.9434
F1 0.2031 0.4062 0.1067
F2 0.6759 0.3518 0.4554
F3 0.7969 0.5938 0.8933
F4 0.0768 0.1536 0.6467
F5 0.9232 0.8464 0.3533
Hg1 0.7845 0.5690 0.2634
O2 0.5415 0.0831 0.0566
Hg2 0.2155 0.4310 0.7366
F6 0.3241 0.6482 0.5446
Hg3 0.9340 0.8679 0.7253
Hg4 0.0660 0.1321 0.2747
```

8.
HgO2F2 after structural relaxation, computed with PBE-GGA.

DOS(E_F) (states/eV per cell): 1.49
Symmetry: P4/mmm (123)

CIF file:
```
data_HgO2F2
_cell_length_a 3.8948
_cell_length_b 3.8948
_cell_length_c 3.7502
_cell_angle_alpha 90.00
_cell_angle_beta 90.00
_cell_angle_gamma 90.00
_space_group_name_H-M_alt 'P 1'
_space_group_IT_number 1
loop_
_space_group_symop_operation_xyz
'x,y,z'
loop_
_atom_site_label
_atom_site_fract_x
_atom_site_fract_y
_atom_site_fract_z
F1 0.0000 0.5000 0.0000
F2 0.5000 0.0000 0.0000
Hg1 0.5000 0.5000 0.5000
O1 0.0000 0.0000 0.5000
O2 0.0000 0.0000 0.0000
```

no.,E_form (uncorrected) (eV/atom),raw total energy (eV/atom)
1,-0.56,-2.687
2,0.06,-2.578
3,0.10,-2.927
4,-0.90,-2.621
5,-0.49,-2.041
6,-0.88,-2.659
7,-1.02,-2.886
8,0.26,-2.528